1.
# La5Dy4Er4 | Alexandria | GGA-PBE | optimized geometry
data_La5Dy4Er4
_chemical_formula_sum 'La10 Dy8 Er8'
_symmetry_space_group_name_H-M 'I 4/m'
_symmetry_Int_Tables_number 87
_symmetry_space_group_name_Hall '-I 4'
_cell_length_a 13.0522
_cell_length_b 13.0522
_cell_length_c 5.0949
_cell_angle_alpha 90.00
_cell_angle_beta 90.00
_cell_angle_gamma 90.00
loop_
_atom_site_label
_atom_site_fract_x
_atom_site_fract_y
_atom_site_fract_z
La1 0.0000 0.0000 0.0000
La2 0.0390 0.1945 0.5000
Dy1 0.0753 0.3866 0.0000
Er1 0.1556 0.7654 0.0000
# - VASP energy: -4.68 eV/atom
# - Formation energy from the elements: 0.03 eV per atom
# - Calculated density: 7.70 g/cm³


2.
# La12DyEr3 | Alexandria | GGA-PBE | optimized geometry
data_La12DyEr3
_chemical_formula_sum 'La12 Dy1 Er3'
_symmetry_space_group_name_H-M 'P 4/m m m'
_symmetry_Int_Tables_number 123
_symmetry_space_group_name_Hall '-P 4 2'
_cell_length_a 5.1976
_cell_length_b 5.1976
_cell_length_c 20.7792
_cell_angle_alpha 90.00
_cell_angle_beta 90.00
_cell_angle_gamma 90.00
loop_
_atom_site_label
_atom_site_fract_x
_atom_site_fract_y
_atom_site_fract_z
La1 0.0000 0.0000 0.0000
La2 0.0000 0.0000 0.2503
La3 0.0000 0.0000 0.5000
La4 0.0000 0.5000 0.1254
La5 0.0000 0.5000 0.3752
Dy1 0.5000 0.5000 0.0000
Er1 0.5000 0.5000 0.2503
Er2 0.5000 0.5000 0.5000
# - VASP energy: -4.83 eV/atom
# - Formation energy from the elements: 0.01 eV per atom
# - Calculated density: 6.90 g/cm³


3.
# La2Dy2Er3 | Alexandria | GGA-PBE | optimized geometry
data_La2Dy2Er3
_chemical_formula_sum 'La8 Dy8 Er12'
_symmetry_space_group_name_H-M 'I 21 3'
_symmetry_Int_Tables_number 199
_symmetry_space_group_name_Hall 'I 2b 2c 3'
_cell_length_a 9.7771
_cell_length_b 9.7771
_cell_length_c 9.7771
_cell_angle_alpha 90.00
_cell_angle_beta 90.00
_cell_angle_gamma 90.00
loop_
_atom_site_label
_atom_site_fract_x
_atom_site_fract_y
_atom_site_fract_z
La1 0.1585 0.3415 0.6585
Dy1 0.0396 0.0396 0.0396
Er1 0.0000 0.2500 0.2990
# - VASP energy: -4.47 eV/atom
# - Formation energy from the elements: 0.21 eV per atom
# - Calculated density: 7.85 g/cm³


4.
# LaDy7Er5 | Alexandria | GGA-PBE | optimized geometry
data_LaDy7Er5
_chemical_formula_sum 'La2 Dy14 Er10'
_symmetry_space_group_name_H-M 'I m m 2'
_symmetry_Int_Tables_number 44
_symmetry_space_group_name_Hall 'I 2 -2'
_cell_length_a 6.6596
_cell_length_b 11.1247
_cell_length_c 11.5463
_cell_angle_alpha 90.00
_cell_angle_beta 90.00
_cell_angle_gamma 90.00
loop_
_atom_site_label
_atom_site_fract_x
_atom_site_fract_y
_atom_site_fract_z
La1 0.0000 0.0000 0.0000
Dy1 0.0000 0.0000 0.3001
Dy2 0.0000 0.0000 0.6077
Dy3 0.0000 0.3288 0.0509
Dy4 0.0000 0.3292 0.5504
Dy5 0.0000 0.5000 0.8030
Er1 0.0000 0.5000 0.2951
Er2 0.2360 0.2315 0.7994
# - VASP energy: -4.37 eV/atom
# - Formation energy from the elements: 0.24 eV per atom
# - Calculated density: 8.20 g/cm³